# 1
This record from Alexandria describes a relaxed GaReTc2Os crystal. The functional is PBE.

Output
Energy relative to the elements ... 173.29 kJ/mol of atoms
DOS(E_F) ... 5.96 states/eV/cell

Lattice parameters (Å, degrees): 4.7111 4.7111 4.7391 90.00 90.00 90.00
Sites, in units of the cell vectors:
Ga 0.0000 0.0000 0.0000
Re 0.5000 0.5000 0.5000
Tc 0.0000 0.5000 0.5000
Tc 0.5000 0.0000 0.5000
Os 0.5000 0.5000 0.0000


# 2
This record from Alexandria describes a relaxed Tl2GaReOs crystal. The functional is PBE.

Output
Energy relative to the elements ... 116.69 kJ/mol of atoms
DOS(E_F) ... 3.98 states/eV/cell

Lattice parameters (Å, degrees): 5.3000 5.3000 4.8127 90.00 90.00 90.00
Sites, in units of the cell vectors:
Tl 0.0000 0.5000 0.0000
Tl 0.5000 0.0000 0.0000
Ga 0.0000 0.0000 0.5000
Re 0.5000 0.5000 0.5000
Os 0.5000 0.5000 0.0000


# 3
This record from Alexandria describes a relaxed VGaReOs crystal. The functional is PBE.

Output
Energy relative to the elements ... -12.74 kJ/mol of atoms
DOS(E_F) ... 1.83 states/eV/cell

Lattice parameters (Å, degrees): 4.3044 4.3044 4.3044 60.00 60.00 60.00
Sites, in units of the cell vectors:
V 0.0000 0.0000 0.0000
Ga 0.5000 0.5000 0.5000
Re 0.2500 0.2500 0.2500
Os 0.7500 0.7500 0.7500


# 4
This record from Alexandria describes a relaxed Ga3OsRh crystal. The functional is PBE.

Output
Polymorph energy (0 for the lowest one) ... 0 meV/atom
Energy relative to the elements ... 49.39 kJ/mol of atoms
DOS(E_F) ... 3.53 states/eV/cell

Lattice parameters (Å, degrees): 4.7049 4.7049 4.7049 90.00 90.00 90.00
Sites, in units of the cell vectors:
Ga 0.0000 0.0000 0.5000
Ga 0.0000 0.5000 0.0000
Ga 0.5000 0.0000 0.0000
Os 0.0000 0.0000 0.0000
Rh 0.5000 0.5000 0.5000


# 5
This record from Alexandria describes a relaxed GaOsRh3 crystal. The functional is PBE.

Output
Polymorph energy (0 for the lowest one) ... 100 meV/atom
Energy relative to the elements ... 123.46 kJ/mol of atoms
DOS(E_F) ... 5.87 states/eV/cell

Lattice parameters (Å, degrees): 4.4597 4.4597 4.4597 90.00 90.00 90.00
Sites, in units of the cell vectors:
Ga 0.0000 0.0000 0.0000
Os 0.5000 0.5000 0.5000
Rh 0.0000 0.0000 0.5000
Rh 0.0000 0.5000 0.0000
Rh 0.5000 0.0000 0.0000


# 6
This record from Alexandria describes a relaxed GaOs3Rh crystal. The functional is PBE.

Output
Polymorph energy (0 for the lowest one) ... 0 meV/atom
Energy relative to the elements ... 194.31 kJ/mol of atoms
DOS(E_F) ... 5.93 states/eV/cell

Lattice parameters (Å, degrees): 4.4450 4.4450 4.4450 90.00 90.00 90.00
Sites, in units of the cell vectors:
Ga 0.0000 0.0000 0.0000
Os 0.0000 0.0000 0.5000
Os 0.0000 0.5000 0.0000
Os 0.5000 0.0000 0.0000
Rh 0.5000 0.5000 0.5000


# 7
This record from Alexandria describes a relaxed GaOs3Rh crystal. The functional is PBE.

Output
Polymorph energy (0 for the lowest one) ... 366 meV/atom
Energy relative to the elements ... 229.66 kJ/mol of atoms
DOS(E_F) ... 8.20 states/eV/cell

Lattice parameters (Å, degrees): 4.6813 4.6813 4.6813 90.00 90.00 90.00
Sites, in units of the cell vectors:
Ga 0.0000 0.0000 0.0000
Os 0.0000 0.5000 0.5000
Os 0.5000 0.0000 0.5000
Os 0.5000 0.5000 0.0000
Rh 0.5000 0.5000 0.5000


# 8
This record from Alexandria describes a relaxed Ga5OsRh4 crystal. The functional is PBE.

Output
Energy relative to the elements ... -52.44 kJ/mol of atoms
DOS(E_F) ... 2.89 states/eV/cell

Lattice parameters (Å, degrees): 3.0414 3.0414 15.1699 90.00 90.00 90.00
Sites, in units of the cell vectors:
Ga 0.0000 0.0000 0.0000
Ga 0.0000 0.0000 0.2014
Ga 0.0000 0.0000 0.4025
Ga 0.0000 0.0000 0.5975
Ga 0.0000 0.0000 0.7986
Os 0.5000 0.5000 0.5000
Rh 0.5000 0.5000 0.0996
Rh 0.5000 0.5000 0.2983
Rh 0.5000 0.5000 0.7017
Rh 0.5000 0.5000 0.9004